## CaBrO2 (PBE)

Data for an optimized crystal structure of CaBrO2.

D(E_F) in states/eV/atom: 0.8731
E_form (uncorrected) in eV per atom: -1.208
Distance to the lowest polymorph of the same formula in meV per atom: 249
Calculated total energy in eV/atom: -4.606

Cell and atoms, written as CIF:
```
data_CaBrO2
_cell_length_a 3.7048
_cell_length_b 3.7048
_cell_length_c 6.1911
_cell_angle_alpha 90.00
_cell_angle_beta 90.00
_cell_angle_gamma 120.00
_symmetry_space_group_name_H-M 'P 3 m 1'
_symmetry_Int_Tables_number 156
loop_
_symmetry_equiv_pos_as_xyz
'x,y,z'
'-y,x-y,z'
'-x+y,-x,z'
'-y,-x,z'
'-x+y,y,z'
'x,x-y,z'
loop_
_atom_site_label
_atom_site_type_symbol
_atom_site_fract_x
_atom_site_fract_y
_atom_site_fract_z
_atom_site_occupancy
Ca1 Ca 0.0000 0.0000 0.0000 1
Br1 Br 0.3333 0.6667 0.4962 1
O1 O 0.3333 0.6667 0.7887 1
O2 O 0.6667 0.3333 0.1309 1
```

***

## CsNaCl2F8 (PBE)

Data for an optimized crystal structure of CsNaCl2F8.

E_form (uncorrected) in eV per atom: -1.004
Calculated total energy in eV/atom: -2.740

Cell and atoms, written as CIF:
```
data_CsNaCl2F8
_cell_length_a 5.5347
_cell_length_b 5.5347
_cell_length_c 8.9707
_cell_angle_alpha 90.00
_cell_angle_beta 90.00
_cell_angle_gamma 120.00
_symmetry_space_group_name_H-M 'P -3'
_symmetry_Int_Tables_number 147
loop_
_symmetry_equiv_pos_as_xyz
'x,y,z'
'-x,-y,-z'
'-y,x-y,z'
'y,-x+y,-z'
'-x+y,-x,z'
'x-y,x,-z'
loop_
_atom_site_label
_atom_site_type_symbol
_atom_site_fract_x
_atom_site_fract_y
_atom_site_fract_z
_atom_site_occupancy
Cs1 Cs 0.0000 0.0000 0.0000 1
Na1 Na 0.0000 0.0000 0.5000 1
Cl1 Cl 0.3333 0.6667 0.7925 1
F1 F 0.0773 0.3685 0.6600 1
F2 F 0.3333 0.6667 0.0074 1
```

***

## LaPm2Pr5Nd (PBE)

Data for an optimized crystal structure of LaPm2Pr5Nd.

D(E_F) in states/eV/atom: 1.5884
E_form in eV per atom: 0.244
Calculated total energy in eV/atom: -4.544

Cell and atoms, written as CIF:
```
data_LaPm2Pr5Nd
_cell_length_a 9.0267
_cell_length_b 9.0267
_cell_length_c 15.9815
_cell_angle_alpha 90.00
_cell_angle_beta 90.00
_cell_angle_gamma 90.00
_symmetry_space_group_name_H-M 'I 4/m c m'
_symmetry_Int_Tables_number 140
_symmetry_space_group_name_Hall '-I 4 2c'
loop_
_atom_site_label
_atom_site_type_symbol
_atom_site_fract_x
_atom_site_fract_y
_atom_site_fract_z
_atom_site_occupancy
La1 La 0.0000 0.0000 0.2500 1
Pm1 Pm 0.1172 0.3828 0.0000 1
Pr1 Pr 0.0000 0.0000 0.0000 1
Pr2 Pr 0.2043 0.2957 0.3635 1
Nd1 Nd 0.0000 0.5000 0.2500 1
```

***

Q: What is the formula in the second record?
A: CsNaCl2F8

***

Q: What is the calculated total energy in the first record?
A: -4.606 eV/atom

***

Q: Which of these has the highest calculated total energy?
A: CsNaCl2F8

***

Q: Look up the calculated total energy of the first one.
A: -4.606 eV/atom